A plane-wave DFT calculation with PBE+U was carried out for a relaxed ScTl2CrO6 crystal.

Properties
total energy: -64.8 eV per cell
space group: P-1

```
data_ScTl2CrO6
_cell_length_a 5.442
_cell_length_b 5.618
_cell_length_c 5.622
_cell_angle_alpha 60.87
_cell_angle_beta 61.09
_cell_angle_gamma 61.07
_symmetry_space_group_name_H-M 'P 1'
_symmetry_Int_Tables_number 1
loop_
_symmetry_equiv_pos_as_xyz
'x,y,z'
loop_
_atom_site_label
_atom_site_fract_x
_atom_site_fract_y
_atom_site_fract_z
Sc1 0.000 0.000 0.000
Tl1 0.220 0.252 0.252
Tl2 0.780 0.748 0.748
Cr1 0.500 0.500 0.500
O1 0.185 0.328 0.814
O2 0.188 0.817 0.325
O3 0.391 0.743 0.743
O4 0.609 0.257 0.257
O5 0.812 0.183 0.675
O6 0.815 0.672 0.186
```

A plane-wave DFT calculation with PBE+U was carried out for a relaxed TmScCr2O6 crystal.

Properties
total energy: -83.1 eV per cell
space group: R3

```
data_TmScCr2O6
_cell_length_a 5.559
_cell_length_b 5.559
_cell_length_c 5.559
_cell_angle_alpha 57.21
_cell_angle_beta 57.21
_cell_angle_gamma 57.21
_symmetry_space_group_name_H-M 'P 1'
_symmetry_Int_Tables_number 1
loop_
_symmetry_equiv_pos_as_xyz
'x,y,z'
loop_
_atom_site_label
_atom_site_fract_x
_atom_site_fract_y
_atom_site_fract_z
Tm1 0.000 0.000 0.000
Sc1 0.493 0.493 0.493
Cr1 0.283 0.283 0.283
Cr2 0.785 0.785 0.785
O1 0.070 0.647 0.424
O2 0.166 0.564 0.905
O3 0.424 0.070 0.647
O4 0.564 0.905 0.166
O5 0.647 0.424 0.070
O6 0.905 0.166 0.564
```

A plane-wave DFT calculation with PBE+U was carried out for a relaxed TmScCr2O8 crystal.

Properties
total energy: -92.5 eV per cell
space group: I-4m2

```
data_TmScCr2O8
_cell_length_a 5.837
_cell_length_b 5.837
_cell_length_c 5.837
_cell_angle_alpha 106.23
_cell_angle_beta 106.23
_cell_angle_gamma 116.16
_symmetry_space_group_name_H-M 'P 1'
_symmetry_Int_Tables_number 1
loop_
_symmetry_equiv_pos_as_xyz
'x,y,z'
loop_
_atom_site_label
_atom_site_fract_x
_atom_site_fract_y
_atom_site_fract_z
Tm1 0.000 0.000 0.000
Sc1 0.250 0.750 0.500
Cr1 0.500 0.500 0.000
Cr2 0.750 0.250 0.500
O1 0.324 0.133 0.809
O2 0.324 0.514 0.191
O3 0.383 0.067 0.315
O4 0.486 0.676 0.809
O5 0.752 0.067 0.685
O6 0.867 0.676 0.191
O7 0.933 0.248 0.315
O8 0.933 0.617 0.685
```

A plane-wave DFT calculation with PBE+U was carried out for a relaxed ScUCrO6 crystal.

Properties
total energy: -159.3 eV per cell
space group: P-31c

```
data_ScUCrO6
_cell_length_a 5.422
_cell_length_b 5.422
_cell_length_c 8.695
_cell_angle_alpha 90.00
_cell_angle_beta 90.00
_cell_angle_gamma 120.00
_symmetry_space_group_name_H-M 'P 1'
_symmetry_Int_Tables_number 1
loop_
_symmetry_equiv_pos_as_xyz
'x,y,z'
loop_
_atom_site_label
_atom_site_fract_x
_atom_site_fract_y
_atom_site_fract_z
Sc1 0.333 0.667 0.250
Sc2 0.667 0.333 0.750
U1 0.333 0.667 0.750
U2 0.667 0.333 0.250
Cr1 0.000 0.000 0.000
Cr2 0.000 0.000 0.500
O1 0.005 0.330 0.628
O2 0.005 0.675 0.872
O3 0.325 0.330 0.872
O4 0.325 0.995 0.628
O5 0.330 0.005 0.128
O6 0.330 0.325 0.372
O7 0.670 0.675 0.628
O8 0.670 0.995 0.872
O9 0.675 0.005 0.372
O10 0.675 0.670 0.128
O11 0.995 0.325 0.128
O12 0.995 0.670 0.372
```

A plane-wave DFT calculation with PBE+U was carried out for a relaxed Sc2VCrO6 crystal.

Properties
total energy: -84.9 eV per cell
space group: R3

```
data_Sc2VCrO6
_cell_length_a 5.582
_cell_length_b 5.582
_cell_length_c 5.582
_cell_angle_alpha 56.02
_cell_angle_beta 56.02
_cell_angle_gamma 56.02
_symmetry_space_group_name_H-M 'P 1'
_symmetry_Int_Tables_number 1
loop_
_symmetry_equiv_pos_as_xyz
'x,y,z'
loop_
_atom_site_label
_atom_site_fract_x
_atom_site_fract_y
_atom_site_fract_z
Sc1 0.000 0.000 0.000
Sc2 0.499 0.499 0.499
V1 0.209 0.209 0.209
Cr1 0.706 0.706 0.706
O1 0.091 0.820 0.420
O2 0.321 0.593 0.919
O3 0.420 0.091 0.820
O4 0.593 0.919 0.321
O5 0.820 0.420 0.091
O6 0.919 0.321 0.593
```

A plane-wave DFT calculation with PBE+U was carried out for a relaxed ScV2CrO6 crystal.

Properties
total energy: -82.4 eV per cell
space group: R3

```
data_ScV2CrO6
_cell_length_a 5.570
_cell_length_b 5.570
_cell_length_c 5.570
_cell_angle_alpha 55.50
_cell_angle_beta 55.50
_cell_angle_gamma 55.50
_symmetry_space_group_name_H-M 'P 1'
_symmetry_Int_Tables_number 1
loop_
_symmetry_equiv_pos_as_xyz
'x,y,z'
loop_
_atom_site_label
_atom_site_fract_x
_atom_site_fract_y
_atom_site_fract_z
Sc1 0.000 0.000 0.000
V1 0.206 0.206 0.206
V2 0.711 0.711 0.711
Cr1 0.510 0.510 0.510
O1 0.109 0.804 0.418
O2 0.317 0.597 0.909
O3 0.418 0.109 0.804
O4 0.597 0.909 0.317
O5 0.804 0.418 0.109
O6 0.909 0.317 0.597
```

Looking at total magnetic moment for the records above, in order, we have 3.000; 6.000; 2.000; 2.992; 5.000; 7.000 μB per formula unit.
Looking at calculated volume for the records above, in order, we have 12.43; 11.37; 12.63; 12.30; 11.17; 10.94 Å³ per atom.